GGA-PBE MnSiW2, relaxed; electronic total energy = -40.4 eV/cell; raw formation energy = 0.015 eV per atom; total moment = 0.9 μB per cell; space-group type = No. 6
1.0
2.751 0.000 0.000
0.000 4.252 0.000
-1.092 0.000 4.813
Mn Si W
1 1 2
Cartesian
0.000 0.000 0.000
2.385 2.126 1.199
-0.019 2.126 3.744
0.896 0.000 2.332